[1]
Sc2CdAu: optimized geometry, PBEsol.

Cell and atoms, written as POSCAR:
```
Sc2CdAu
1.0
-0.252 0.171 3.395
-4.216 -2.260 -0.200
2.265 -4.260 0.383
Sc Au Cd
2 1 1
Direct
0.000 0.500 0.641
0.000 0.000 0.110
0.500 0.000 0.596
0.500 0.500 0.153
```

Output
The formation energy from the elements is -0.57 eV/atom. The value obtained for the calculated density is 8.394 Mg/m³. The size of the total moment comes out at 0.0 μB per formula unit.

[2]
ScCd2Au: optimized geometry, PBEsol.

Cell and atoms, written as POSCAR:
```
ScCd2Au
1.0
3.411 0.000 0.000
0.000 4.780 0.000
-1.705 -2.390 4.823
Sc Au Cd
1 1 2
Direct
0.000 0.500 0.000
0.500 0.000 0.000
0.235 0.235 0.470
0.765 0.765 0.530
```

Output
The formation energy from the elements is -0.32 eV/atom. The value obtained for the calculated density is 9.857 Mg/m³. The size of the total moment comes out at 0.0 μB per formula unit.

[3]
ScCd2Au: optimized geometry, PBEsol.

Cell and atoms, written as POSCAR:
```
ScCd2Au
1.0
-0.170 -1.628 2.690
2.284 -3.704 -2.097
4.642 2.378 0.856
Cd Au Sc
2 1 1
Direct
0.854 0.000 0.742
0.146 0.000 0.258
0.000 0.500 0.500
0.500 0.500 0.000
```

Output
The formation energy from the elements is -0.29 eV/atom. The value obtained for the calculated density is 9.740 Mg/m³. The size of the total moment comes out at 0.0 μB per formula unit.

[4]
ScCd2Au: optimized geometry, PBEsol.

Cell and atoms, written as POSCAR:
```
ScCd2Au
1.0
-0.618 -1.728 4.351
3.041 -2.138 -2.979
4.647 0.306 0.782
Au Cd Sc
1 2 1
Direct
0.750 0.500 0.750
0.000 0.000 0.000
0.250 0.500 0.250
0.500 0.000 0.500
```

Output
The formation energy from the elements is -0.45 eV/atom. The value obtained for the calculated density is 10.229 Mg/m³. The size of the total moment comes out at 0.0 μB per formula unit.

[5]
ScCd2Au: optimized geometry, PBEsol.

Cell and atoms, written as POSCAR:
```
ScCd2Au
1.0
-1.319 3.847 -0.694
-2.390 -0.214 3.356
3.426 1.634 2.544
Au Cd Sc
1 2 1
Direct
0.000 0.000 0.500
0.500 0.000 0.000
0.000 0.500 0.000
0.500 0.500 0.500
```

Output
The formation energy from the elements is -0.37 eV/atom. The value obtained for the calculated density is 9.968 Mg/m³. The size of the total moment comes out at 0.0 μB per formula unit.

[6]
Sc2CdAu: optimized geometry, PBEsol.

Cell and atoms, written as POSCAR:
```
Sc2CdAu
1.0
4.751 0.000 0.000
2.375 4.114 0.000
2.375 1.371 3.879
Sc Au Cd
2 1 1
Direct
0.000 0.000 0.000
0.250 0.250 0.250
0.500 0.500 0.500
0.750 0.750 0.750
```

Output
The formation energy from the elements is -0.35 eV/atom. The value obtained for the calculated density is 8.746 Mg/m³. The size of the total moment comes out at 1.0 μB per formula unit.